[1]
Below is a geometry-optimized NaHfFeAs structure, with properties calculated at the PBE-GGA level.

Summary:
E above lowest polymorph ... 0 meV/atom
Density ... 9.13 g/cm3

abc: 6.2303 6.2303 6.2303
angles: 90.00 90.00 90.00
Space group F-43m (No. 216)
Symmetry-distinct sites (fractional):
Na 0.0000 0.0000 0.0000
Hf 0.2500 0.2500 0.7500
Fe 0.0000 0.0000 0.5000
As 0.2500 0.2500 0.2500

[2]
Below is a geometry-optimized NaHfFeAs structure, with properties calculated at the PBE-GGA level.

Summary:
E above lowest polymorph ... 6 meV/atom
Density ... 7.90 g/cm3

abc: 6.5359 6.5359 6.5359
angles: 90.00 90.00 90.00
Space group F-43m (No. 216)
Symmetry-distinct sites (fractional):
Na 0.0000 0.0000 0.0000
Hf 0.0000 0.0000 0.5000
Fe 0.2500 0.2500 0.2500
As 0.2500 0.2500 0.7500

[3]
Below is a geometry-optimized HfFeNiAs structure, with properties calculated at the PBE-GGA level.

Summary:
E above lowest polymorph ... 154 meV/atom
Density ... 10.26 g/cm3

abc: 6.1992 6.1992 6.1992
angles: 90.00 90.00 90.00
Space group F-43m (No. 216)
Symmetry-distinct sites (fractional):
Hf 0.0000 0.0000 0.0000
Fe 0.2500 0.2500 0.7500
Ni 0.0000 0.0000 0.5000
As 0.2500 0.2500 0.2500

[4]
Below is a geometry-optimized HfFeNiAs structure, with properties calculated at the PBE-GGA level.

Summary:
E above lowest polymorph ... 53 meV/atom
Density ... 10.40 g/cm3

abc: 6.1707 6.1707 6.1707
angles: 90.00 90.00 90.00
Space group F-43m (No. 216)
Symmetry-distinct sites (fractional):
Hf 0.0000 0.0000 0.0000
Fe 0.0000 0.0000 0.5000
Ni 0.2500 0.2500 0.7500
As 0.2500 0.2500 0.2500